Record 1
DFT (PBE-GGA) results for Tc2Sb2W after structural relaxation.

- DOS at the Fermi energy (states/eV per cell) = 7.174
- energy relative to the lowest polymorph listed for this composition (eV/f.u.) = 2.204
- formation energy from raw total energies (eV/atom) = 1.03
- SG = No. 139

Cell lengths 4.0035, 4.0035, 6.7698 Å; angles 72.80, 72.80, 90.00 degrees
Atoms (fractional coordinates):
Tc 0.4022 0.4022 0.1955
Sb 0.7500 0.2500 0.5000
Tc 0.5978 0.5978 0.8045
W 0.0000 0.0000 0.0000
Sb 0.2500 0.7500 0.5000

=====

Record 2
DFT (PBE-GGA) results for Tc2Sb2W after structural relaxation.

- DOS at the Fermi energy (states/eV per cell) = 10.150
- energy relative to the lowest polymorph listed for this composition (eV/f.u.) = 0.000
- formation energy from raw total energies (eV/atom) = 0.59
- SG = No. 127

Cell lengths 7.3918, 7.3918, 3.2865 Å; angles 90.00, 90.00, 90.00 degrees
Atoms (fractional coordinates):
Sb 0.1651 0.6651 0.5000
Sb 0.8349 0.3349 0.5000
Sb 0.3349 0.1651 0.5000
Tc 0.3645 0.8645 0.0000
Sb 0.6651 0.8349 0.5000
Tc 0.1355 0.3645 0.0000
W 0.0000 0.0000 0.0000
Tc 0.6355 0.1355 0.0000
W 0.5000 0.5000 0.0000
Tc 0.8645 0.6355 0.0000

=====

Record 3
DFT (PBE-GGA) results for TcSbW2 after structural relaxation.

- DOS at the Fermi energy (states/eV per cell) = 2.639
- formation energy from raw total energies (eV/atom) = 0.44
- SG = No. 123

Cell lengths 3.0264, 3.0264, 7.4293 Å; angles 90.00, 90.00, 90.01 degrees
Atoms (fractional coordinates):
W 0.0000 0.0000 0.9774
Sb 0.5000 0.5000 0.2500
W 0.0000 0.0000 0.5226
Tc 0.5000 0.5000 0.7500